VASP calculation (PBE) on crystalline Na2BiIrPt at its relaxed geometry.

Unit cell a=5.583 b=5.583 c=4.966 alpha=90.00 beta=90.00 gamma=90.00
Sites, in units of the cell vectors:
Na (0.000, 0.500, 0.000)
Na (0.500, 0.000, 0.000)
Bi (0.000, 0.000, 0.000)
Ir (0.000, 0.000, 0.500)
Pt (0.500, 0.500, 0.500)

Output
Total DFT energy (no corrections), eV/cell: -15.79
Formation energy, meV per atom: 1127